# 1
Here is crystalline LiTiW2I at its relaxed geometry from Alexandria via LeMat-Bulk. Energies are from PBE.

Unit cell a=4.951 b=4.951 c=4.337 alpha=90.00 beta=90.00 gamma=90.00
Fractional positions:
Li  0.000  0.000  0.000
Ti  0.500  0.500  0.000
W  0.000  0.500  0.500
W  0.500  0.000  0.500
I  0.000  0.000  0.500

## Properties
raw formation energy	1954	meV/atom
total DFT energy (no corrections)	-0.4042	Ry per atom
DOS(E_F)	3.669	states/eV/f.u.
total magnetic moment	0.00	Bohr magnetons per cell
calculated volume	106.3	Å³ per cell

# 2
Here is crystalline Mg2CdPd2 at its relaxed geometry from Alexandria via LeMat-Bulk. Energies are from PBE.

Unit cell a=7.156 b=7.156 c=7.156 alpha=148.47 beta=148.47 gamma=45.20
Fractional positions:
Mg  0.113  0.113  0.000
Mg  0.887  0.887  0.000
Cd  0.500  0.500  0.000
Pd  0.250  0.750  0.500
Pd  0.750  0.250  0.500

## Properties
total DFT energy (no corrections)	-0.2282	Ry per atom
DOS(E_F)	1.870	states/eV/f.u.
total magnetic moment	0.00	Bohr magnetons per cell
calculated volume	99.9	Å³ per cell
DFT formation energy	-0.207	eV/atom

# 3
Here is crystalline Nd2NpCuSe5 at its relaxed geometry from Alexandria via LeMat-Bulk. Energies are from PBE.

Unit cell a=9.134 b=9.134 c=12.167 alpha=90.00 beta=90.00 gamma=154.17
Fractional positions:
Nd  0.108  0.892  0.500
Nd  0.122  0.878  0.123
Nd  0.878  0.122  0.623
Nd  0.892  0.108  0.000
Np  0.197  0.803  0.824
Np  0.803  0.197  0.324
Cu  0.436  0.564  0.266
Cu  0.564  0.436  0.766
Se  0.045  0.955  0.872
Se  0.290  0.710  0.489
Se  0.315  0.685  0.159
Se  0.360  0.640  0.816
Se  0.498  0.502  0.592
Se  0.502  0.498  0.092
Se  0.640  0.360  0.316
Se  0.685  0.315  0.659
Se  0.710  0.290  0.989
Se  0.955  0.045  0.372

## Properties
raw formation energy	-1369	meV/atom
total DFT energy (no corrections)	-0.4599	Ry per atom
DOS(E_F)	9.152	states/eV/f.u.
total magnetic moment	7.94	Bohr magnetons per cell
calculated volume	442.2	Å³ per cell

# 4
Here is crystalline ReTeS2Cl at its relaxed geometry from Alexandria via LeMat-Bulk. Energies are from PBE.

Unit cell a=5.133 b=5.133 c=5.180 alpha=90.00 beta=90.00 gamma=90.00
Fractional positions:
Re  0.000  0.000  0.000
Te  0.500  0.500  0.500
S  0.000  0.500  0.500
S  0.500  0.000  0.500
Cl  0.500  0.500  0.000

## Properties
raw formation energy	1359	meV/atom
total DFT energy (no corrections)	-0.2778	Ry per atom
DOS(E_F)	2.099	states/eV/f.u.
total magnetic moment	5.64	Bohr magnetons per cell
E above lowest polymorph	1.022	eV/atom
calculated volume	136.5	Å³ per cell

# 5
Here is crystalline TiSb2S4 at its relaxed geometry from Alexandria via LeMat-Bulk. Energies are from PBE.

Unit cell a=7.698 b=7.698 c=7.698 alpha=144.06 beta=144.06 gamma=51.73
Fractional positions:
Ti  0.000  0.000  0.000
Sb  0.357  0.357  0.000
Sb  0.643  0.643  0.000
S  0.000  0.500  0.500
S  0.179  0.179  0.000
S  0.500  0.000  0.500
S  0.821  0.821  0.000

## Properties
raw formation energy	-257	meV/atom
total DFT energy (no corrections)	-0.3617	Ry per atom
DOS(E_F)	4.660	states/eV/f.u.
total magnetic moment	0.36	Bohr magnetons per cell
calculated volume	156.3	Å³ per cell

# 6
Here is crystalline TbCe2Tc2C4 at its relaxed geometry from Alexandria via LeMat-Bulk. Energies are from PBE.

Unit cell a=7.076 b=7.076 c=6.044 alpha=106.47 beta=106.47 gamma=28.06
Fractional positions:
Tb  0.000  0.000  0.000
Ce  0.131  0.131  0.531
Ce  0.869  0.869  0.469
Tc  0.319  0.319  0.992
Tc  0.681  0.681  0.008
C  0.226  0.226  0.219
C  0.449  0.449  0.249
C  0.551  0.551  0.751
C  0.774  0.774  0.781

## Properties
total DFT energy (no corrections)	-0.6110	Ry per atom
DOS(E_F)	5.709	states/eV/f.u.
total magnetic moment	0.00	Bohr magnetons per cell
calculated volume	136.1	Å³ per cell
DFT formation energy	-0.077	eV/atom

Computed values of mass density (unit: Mg/m³) for the preceding records, in sequence: 8.58 6.21 7.39 5.03 4.46 8.33.